The following is a DFT calculation (PBE) of a geometry-optimized Te5Pb3Se12 structure.

Results
Volume ... 32.47 Å³ per atom
Total magnetization ... 0.00 μB/f.u.
Electronic total energy ... -3.439 eV/atom

Cell: 17.319 17.319 17.319 Å, 90.00 90.00 90.00°
Space group Ia-3d (No. 230)
One atom of each set of equivalent atoms:
Te: 0.000 0.000 0.000 [16 per cell]
Te: 0.000 0.250 0.375 [24 per cell]
Pb: 0.000 0.250 0.125 [24 per cell]
Se: 0.019 0.064 0.650 [96 per cell]